{"formula": "ErPa2Ga9", "functional": "GGA-PBE", "state": "relaxed", "ef_mev_per_atom": -427, "lattice_angstrom": [[4.2897, 0.0000, 0.0000], [0.0000, 4.2897, 0.0000], [0.0000, 0.0000, 12.8000]], "species": ["Pa", "Ga", "Ga", "Ga", "Ga", "Ga", "Ga", "Ga", "Er", "Pa", "Ga", "Ga"], "fractional_positions": [[0.0000, 0.0000, 0.3319], [0.5000, 0.0000, 0.8356], [0.5000, 0.5000, 0.6648], [0.5000, 0.0000, 0.5000], [0.5000, 0.5000, 0.0000], [0.0000, 0.5000, 0.1644], [0.5000, 0.0000, 0.1644], [0.5000, 0.5000, 0.3352], [0.0000, 0.0000, 0.0000], [0.0000, 0.0000, 0.6681], [0.0000, 0.5000, 0.8356], [0.0000, 0.5000, 0.5000]]}